{
  "formula": "CoCu2Mo",
  "functional": "PBE",
  "state": "relaxed",
  "m_tot_mub_per_atom": 0.008,
  "de_polymorph_mev_per_atom": 80,
  "e_form_ev_per_atom": 0.235,
  "dft_energy_ev_per_cell": -25.190,
  "space_group": "I-4m2",
  "lattice": [[-1.870, 1.870, 3.572], [1.870, -1.870, 3.572], [1.870, 1.870, -3.572]],
  "species": ["Co", "Cu", "Cu", "Mo"],
  "fractional_positions": [[0.000, 0.000, 0.000], [0.250, 0.750, 0.500], [0.500, 0.500, 0.000], [0.750, 0.250, 0.500]]
}